Record 1
TiBe4Pd7 | GGA-PBE | optimized geometry

Summary:
DOS(E_F) = 0.47 states/eV per atom
ΔE_f = -0.290 eV per atom
symmetry = C2/m

a = 4.604 Å, b = 6.742 Å, c = 6.159 Å
α = 70.97°, β = 68.05°, γ = 70.04°
Fractional positions:
Be 0.457 0.730 0.357
Pd 0.295 0.652 0.759
Pd 0.773 0.891 0.564
Pd 0.705 0.348 0.241
Be 0.301 0.343 0.055
Be 0.543 0.270 0.643
Pd 0.227 0.109 0.436
Ti 0.000 0.000 0.000
Pd 0.065 0.610 0.260
Pd 0.935 0.390 0.740
Be 0.699 0.657 0.945
Pd 0.500 0.000 0.000

---

Record 2
Er2ThPaN4 | GGA-PBE | optimized geometry

Summary:
raw formation energy = -1653 meV/atom
DOS(E_F) = 0.45 states/eV per atom
symmetry = P2/m

a = 3.504 Å, b = 6.072 Å, c = 6.090 Å
α = 70.62°, β = 90.00°, γ = 90.00°
Fractional positions:
N 0.500 0.750 0.262
Er 0.500 0.000 0.500
Th 0.500 0.500 0.000
N 0.000 0.753 0.734
N 0.000 0.247 0.266
Er 0.000 0.000 0.000
N 0.500 0.250 0.738
Pa 0.000 0.500 0.500

---

Record 3
Mg2BeCu3 | GGA-PBE | optimized geometry

Summary:
DOS(E_F) = 0.18 states/eV per atom
ΔE_f = -0.139 eV per atom
symmetry = P6_3/mmc

a = 5.000 Å, b = 5.000 Å, c = 7.573 Å
α = 90.00°, β = 90.00°, γ = 120.00°
Fractional positions:
Be 0.000 0.000 0.500
Cu 0.668 0.834 0.250
Be 0.000 0.000 0.000
Mg 0.667 0.333 0.439
Cu 0.834 0.166 0.750
Cu 0.834 0.668 0.750
Mg 0.333 0.667 0.939
Mg 0.667 0.333 0.061
Mg 0.333 0.667 0.561
Cu 0.166 0.332 0.250
Cu 0.166 0.834 0.250
Cu 0.332 0.166 0.750

---

Record 4
Pr3AgC | GGA-PBE | optimized geometry

Summary:
energy relative to the lowest polymorph listed for this composition = 118 meV/atom
DOS(E_F) = 1.08 states/eV per atom
ΔE_f = -0.004 eV per atom
symmetry = Pm-3m

a = 5.145 Å, b = 5.145 Å, c = 5.145 Å
α = 90.00°, β = 90.00°, γ = 90.00°
Fractional positions:
C 0.000 0.000 0.000
Pr 0.000 0.000 0.500
Ag 0.500 0.500 0.500
Pr 0.500 0.000 0.000
Pr 0.000 0.500 0.000

---

Record 5
NaLiGa2 | GGA-PBE | optimized geometry

Summary:
energy relative to the lowest polymorph listed for this composition = 141 meV/atom
DOS(E_F) = 0.42 states/eV per atom
ΔE_f = -0.042 eV per atom
symmetry = Fm-3m

a = 4.788 Å, b = 4.788 Å, c = 4.788 Å
α = 60.00°, β = 60.00°, γ = 60.00°
Fractional positions:
Ga 0.750 0.750 0.750
Ga 0.250 0.250 0.250
Li 0.000 0.000 0.000
Na 0.500 0.500 0.500

---

Record 6
ZrMoP | GGA-PBE | optimized geometry

Summary:
energy relative to the lowest polymorph listed for this composition = 504 meV/atom
DOS(E_F) = 0.67 states/eV per atom
ΔE_f = -0.485 eV per atom
symmetry = I4mm

a = 5.343 Å, b = 5.343 Å, c = 5.343 Å
α = 144.84°, β = 144.84°, γ = 50.57°
Fractional positions:
P 0.362 0.362 0.000
Mo 0.967 0.967 0.000
Zr 0.671 0.671 0.000

---

Record 7
CoCuCl2 | GGA-PBE | optimized geometry

Summary:
energy relative to the lowest polymorph listed for this composition = 51 meV/atom
raw formation energy = -83 meV/atom
DOS(E_F) = 1.15 states/eV per atom
symmetry = I-42d

a = 5.398 Å, b = 5.398 Å, c = 6.495 Å
α = 65.45°, β = 65.45°, γ = 90.00°
Fractional positions:
Cl 0.875 0.868 0.750
Cl 0.375 0.382 0.750
Cu 0.750 0.250 0.500
Co 0.500 0.500 0.000
Cl 0.132 0.625 0.250
Co 0.250 0.750 0.500
Cu 0.000 0.000 0.000
Cl 0.618 0.125 0.250

---

Record 8
HgMo2Pb | GGA-PBE | optimized geometry

Summary:
energy relative to the lowest polymorph listed for this composition = 10 meV/atom
DOS(E_F) = 1.03 states/eV per atom
ΔE_f = 0.406 eV per atom
symmetry = Pm

a = 3.221 Å, b = 3.214 Å, c = 8.474 Å
α = 78.36°, β = 90.00°, γ = 90.00°
Fractional positions:
Mo 0.000 0.901 0.043
Mo 0.500 0.358 0.199
Pb 0.000 0.700 0.459
Hg 0.500 0.541 0.799

---

Record 9
Rb2Sc2S | GGA-PBE | optimized geometry

Summary:
energy relative to the lowest polymorph listed for this composition = 762 meV/atom
raw formation energy = 602 meV/atom
DOS(E_F) = 1.33 states/eV per atom
symmetry = P4/mbm

a = 7.805 Å, b = 7.805 Å, c = 6.994 Å
α = 90.00°, β = 90.00°, γ = 90.00°
Fractional positions:
S 0.500 0.500 0.000
Rb 0.851 0.649 0.000
Sc 0.637 0.863 0.500
S 0.000 0.000 0.000
Rb 0.149 0.351 0.000
Sc 0.137 0.637 0.500
Rb 0.649 0.149 0.000
Sc 0.363 0.137 0.500
Rb 0.351 0.851 0.000
Sc 0.863 0.363 0.500

---

Record 10
La5Nd4Dy | GGA-PBE | optimized geometry

Summary:
energy relative to the lowest polymorph listed for this composition = 0 meV/atom
DOS(E_F) = 1.87 states/eV per atom
ΔE_f = 0.019 eV per atom
symmetry = P4/mmm

a = 3.725 Å, b = 3.725 Å, c = 25.849 Å
α = 90.00°, β = 90.00°, γ = 90.00°
Fractional positions:
Nd 0.000 0.000 0.601
Nd 0.000 0.000 0.803
La 0.500 0.500 0.500
La 0.500 0.500 0.298
La 0.500 0.500 0.702
La 0.500 0.500 0.097
La 0.500 0.500 0.903
Nd 0.000 0.000 0.197
Dy 0.000 0.000 0.000
Nd 0.000 0.000 0.399

---

Record 11
Tm2ThGa4 | GGA-PBE | optimized geometry

Summary:
DOS(E_F) = 0.60 states/eV per atom
ΔE_f = -0.635 eV per atom
symmetry = Immm

a = 4.124 Å, b = 4.278 Å, c = 9.540 Å
α = 102.96°, β = 102.48°, γ = 90.00°
Fractional positions:
Ga 0.650 0.650 0.300
Ga 0.931 0.431 0.863
Tm 0.815 0.815 0.631
Ga 0.350 0.350 0.700
Tm 0.185 0.185 0.369
Th 0.500 0.000 0.000
Ga 0.069 0.569 0.137

---

Record 12
Li5Ac2Cd5 | GGA-PBE | optimized geometry

Summary:
DOS(E_F) = 0.65 states/eV per atom
ΔE_f = -0.233 eV per atom
symmetry = Pmmm

a = 4.782 Å, b = 5.817 Å, c = 10.496 Å
α = 90.00°, β = 90.00°, γ = 90.00°
Fractional positions:
Li 0.500 0.250 0.245
Cd 0.000 0.500 0.668
Cd 0.500 0.000 0.000
Li 0.500 0.750 0.245
Ac 0.000 0.000 0.500
Li 0.500 0.250 0.755
Li 0.500 0.750 0.755
Cd 0.000 0.000 0.176
Cd 0.000 0.000 0.824
Cd 0.000 0.500 0.332
Ac 0.000 0.500 0.000
Li 0.500 0.500 0.500

---

Record 13
Cd2NiHPb | GGA-PBE | optimized geometry

Summary:
DOS(E_F) = 0.25 states/eV per atom
symmetry = P4/mmm
calculated total energy = -1.889 eV per atom

a = 5.852 Å, b = 4.958 Å, c = 5.852 Å
α = 90.00°, β = 90.00°, γ = 90.00°
Fractional positions:
Cd 0.500 0.000 0.000
Ni 0.000 0.500 0.000
Cd 0.000 0.000 0.500
Pb 0.000 0.000 0.000
H 0.500 0.500 0.500

---

Record 14
NpURuRh | GGA-PBE | optimized geometry

Summary:
energy relative to the lowest polymorph listed for this composition = 0 meV/atom
DOS(E_F) = 1.21 states/eV per atom
ΔE_f = -0.357 eV per atom
symmetry = F-43m

a = 4.581 Å, b = 4.581 Å, c = 4.581 Å
α = 60.00°, β = 60.00°, γ = 60.00°
Fractional positions:
Np 0.250 0.250 0.250
Ru 0.750 0.750 0.750
U 0.000 0.000 0.000
Rh 0.500 0.500 0.500

---

Record 15
KReHg3 | GGA-PBE | optimized geometry

Summary:
energy relative to the lowest polymorph listed for this composition = 0 meV/atom
DOS(E_F) = 0.91 states/eV per atom
ΔE_f = 0.474 eV per atom
symmetry = Pm-3m

a = 5.377 Å, b = 5.377 Å, c = 5.377 Å
α = 90.00°, β = 90.00°, γ = 90.00°
Fractional positions:
K 0.500 0.500 0.500
Hg 0.500 0.000 0.000
Re 0.000 0.000 0.000
Hg 0.000 0.500 0.000
Hg 0.000 0.000 0.500

---

Record 16
RuSO2 | GGA-PBE | optimized geometry

Summary:
energy relative to the lowest polymorph listed for this composition = 815 meV/atom
raw formation energy = 630 meV/atom
DOS(E_F) = 0.72 states/eV per atom
symmetry = Fm-3m

a = 3.876 Å, b = 3.876 Å, c = 3.876 Å
α = 60.00°, β = 60.00°, γ = 60.00°
Fractional positions:
Ru 0.500 0.500 0.500
O 0.250 0.250 0.250
S 0.000 0.000 0.000
O 0.750 0.750 0.750